(1)
{
  "formula": "KYSN2",
  "functional": "PBE-GGA",
  "state": "relaxed",
  "dos_at_fermi_per_ev_atom": 0.3388,
  "magnetic_moment_mub_per_cell": 4.01,
  "sg": "P4/mmm, No. 123",
  "lattice_angstrom": [[4.715, 0.000, 0.000], [0.000, 4.715, 0.000], [0.000, 0.000, 5.379]],
  "species": ["K", "Y", "S", "N", "N"],
  "frac_coords": [[0.000, 0.000, 0.000], [0.500, 0.500, 0.500], [0.500, 0.500, 0.000], [0.000, 0.500, 0.500], [0.500, 0.000, 0.500]]
}



(2)
{
  "formula": "KYSN2",
  "functional": "PBE-GGA",
  "state": "relaxed",
  "dos_at_fermi_per_ev_atom": 1.0488,
  "magnetic_moment_mub_per_cell": 1.98,
  "sg": "P4/mmm, No. 123",
  "lattice_angstrom": [[4.238, 0.000, 0.000], [0.000, 4.238, 0.000], [0.000, 0.000, 5.494]],
  "species": ["K", "Y", "S", "N", "N"],
  "frac_coords": [[0.000, 0.000, 0.000], [0.500, 0.500, 0.500], [0.000, 0.000, 0.500], [0.000, 0.500, 0.000], [0.500, 0.000, 0.000]]
}



Most favorable first, least favorable last: (1), (2)



(1)
{
  "formula": "KZnS2N",
  "functional": "PBE-GGA",
  "state": "relaxed",
  "dos_at_fermi_per_ev_atom": 1.1255,
  "magnetic_moment_mub_per_cell": 6.02,
  "sg": "P4/mmm, No. 123",
  "lattice_angstrom": [[6.071, 0.000, 0.000], [0.000, 6.071, 0.000], [0.000, 0.000, 5.382]],
  "species": ["K", "Zn", "S", "S", "N"],
  "frac_coords": [[0.000, 0.000, 0.000], [0.500, 0.500, 0.500], [0.000, 0.500, 0.000], [0.500, 0.000, 0.000], [0.000, 0.000, 0.500]]
}



(2)
{
  "formula": "KZnS2N",
  "functional": "PBE-GGA",
  "state": "relaxed",
  "dos_at_fermi_per_ev_atom": 0.8168,
  "magnetic_moment_mub_per_cell": 3.22,
  "sg": "P4/mmm, No. 123",
  "lattice_angstrom": [[5.001, 0.000, 0.000], [0.000, 5.001, 0.000], [0.000, 0.000, 4.085]],
  "species": ["K", "Zn", "S", "S", "N"],
  "frac_coords": [[0.000, 0.000, 0.000], [0.500, 0.500, 0.500], [0.000, 0.500, 0.500], [0.500, 0.000, 0.500], [0.500, 0.500, 0.000]]
}



Most favorable first, least favorable last: (2), (1)



(1)
{
  "formula": "KSbN",
  "functional": "PBE-GGA",
  "state": "relaxed",
  "dos_at_fermi_per_ev_atom": 0.3404,
  "magnetic_moment_mub_per_cell": 4.25,
  "sg": "P-1, No. 2",
  "lattice_angstrom": [[3.431, 0.000, 0.000], [-0.005, 4.250, 0.000], [-0.082, -0.312, 11.954]],
  "species": ["K", "K", "Sb", "Sb", "N", "N"],
  "frac_coords": [[0.005, 0.218, 0.372], [0.995, 0.782, 0.628], [0.497, 0.743, 0.919], [0.503, 0.257, 0.081], [0.495, 0.287, 0.575], [0.505, 0.713, 0.425]]
}



(2)
{
  "formula": "KSbN",
  "functional": "PBE-GGA",
  "state": "relaxed",
  "dos_at_fermi_per_ev_atom": 0.1489,
  "magnetic_moment_mub_per_cell": 0.00,
  "sg": "Imm2, No. 44",
  "lattice_angstrom": [[-1.605, 3.927, 5.752], [1.605, -3.927, 5.752], [1.605, 3.927, -5.752]],
  "species": ["K", "K", "Sb", "Sb", "N", "N"],
  "frac_coords": [[0.000, 0.000, 0.000], [0.550, 0.050, 0.500], [0.067, 0.266, 0.801], [0.465, 0.266, 0.199], [0.378, 0.650, 0.727], [0.923, 0.650, 0.273]]
}



Most favorable first, least favorable last: (2), (1)



(1)
{
  "formula": "KSbTeN2",
  "functional": "PBE-GGA",
  "state": "relaxed",
  "dos_at_fermi_per_ev_atom": 0.6610,
  "magnetic_moment_mub_per_cell": 4.26,
  "sg": "P4/mmm, No. 123",
  "lattice_angstrom": [[4.850, 0.000, 0.000], [0.000, 4.850, 0.000], [0.000, 0.000, 6.900]],
  "species": ["K", "Sb", "Te", "N", "N"],
  "frac_coords": [[0.000, 0.000, 0.000], [0.500, 0.500, 0.500], [0.000, 0.000, 0.500], [0.000, 0.500, 0.000], [0.500, 0.000, 0.000]]
}



(2)
{
  "formula": "KSbTeN2",
  "functional": "PBE-GGA",
  "state": "relaxed",
  "dos_at_fermi_per_ev_atom": 0.5730,
  "magnetic_moment_mub_per_cell": 2.74,
  "sg": "P4/mmm, No. 123",
  "lattice_angstrom": [[4.481, 0.000, 0.000], [0.000, 4.481, 0.000], [0.000, 0.000, 5.868]],
  "species": ["K", "Sb", "Te", "N", "N"],
  "frac_coords": [[0.000, 0.000, 0.000], [0.500, 0.500, 0.500], [0.500, 0.500, 0.000], [0.000, 0.500, 0.500], [0.500, 0.000, 0.500]]
}



Most favorable first, least favorable last: (2), (1)



(1)
{
  "formula": "KScSeN2",
  "functional": "PBE-GGA",
  "state": "relaxed",
  "dos_at_fermi_per_ev_atom": 0.5527,
  "magnetic_moment_mub_per_cell": 3.96,
  "sg": "P4/mmm, No. 123",
  "lattice_angstrom": [[4.479, 0.000, 0.000], [0.000, 4.479, 0.000], [0.000, 0.000, 5.313]],
  "species": ["K", "Sc", "Se", "N", "N"],
  "frac_coords": [[0.000, 0.000, 0.000], [0.500, 0.500, 0.500], [0.500, 0.500, 0.000], [0.000, 0.500, 0.500], [0.500, 0.000, 0.500]]
}



(2)
{
  "formula": "KScSeN2",
  "functional": "PBE-GGA",
  "state": "relaxed",
  "dos_at_fermi_per_ev_atom": 0.7400,
  "magnetic_moment_mub_per_cell": 2.01,
  "sg": "P4/mmm, No. 123",
  "lattice_angstrom": [[4.282, 0.000, 0.000], [0.000, 4.282, 0.000], [0.000, 0.000, 5.827]],
  "species": ["K", "Sc", "Se", "N", "N"],
  "frac_coords": [[0.000, 0.000, 0.000], [0.500, 0.500, 0.500], [0.000, 0.000, 0.500], [0.000, 0.500, 0.000], [0.500, 0.000, 0.000]]
}



(3)
{
  "formula": "KScSeN2",
  "functional": "PBE-GGA",
  "state": "relaxed",
  "dos_at_fermi_per_ev_atom": 0.5574,
  "magnetic_moment_mub_per_cell": 4.00,
  "sg": "P4/mmm, No. 123",
  "lattice_angstrom": [[4.566, 0.000, 0.000], [0.000, 4.566, 0.000], [0.000, 0.000, 8.253]],
  "species": ["K", "Sc", "Se", "N", "N"],
  "frac_coords": [[0.000, 0.000, 0.000], [0.000, 0.000, 0.500], [0.500, 0.500, 0.500], [0.000, 0.500, 0.000], [0.500, 0.000, 0.000]]
}



Most favorable first, least favorable last: (1), (2), (3)



(1)
{
  "formula": "KScTeN2",
  "functional": "PBE-GGA",
  "state": "relaxed",
  "dos_at_fermi_per_ev_atom": 0.5501,
  "magnetic_moment_mub_per_cell": 4.01,
  "sg": "P4/mmm, No. 123",
  "lattice_angstrom": [[4.638, 0.000, 0.000], [0.000, 4.638, 0.000], [0.000, 0.000, 6.410]],
  "species": ["K", "Sc", "Te", "N", "N"],
  "frac_coords": [[0.000, 0.000, 0.000], [0.500, 0.500, 0.500], [0.000, 0.000, 0.500], [0.000, 0.500, 0.000], [0.500, 0.000, 0.000]]
}



(2)
{
  "formula": "KScTeN2",
  "functional": "PBE-GGA",
  "state": "relaxed",
  "dos_at_fermi_per_ev_atom": 0.5772,
  "magnetic_moment_mub_per_cell": 3.89,
  "sg": "P4/mmm, No. 123",
  "lattice_angstrom": [[4.551, 0.000, 0.000], [0.000, 4.551, 0.000], [0.000, 0.000, 5.734]],
  "species": ["K", "Sc", "Te", "N", "N"],
  "frac_coords": [[0.000, 0.000, 0.000], [0.500, 0.500, 0.500], [0.500, 0.500, 0.000], [0.000, 0.500, 0.500], [0.500, 0.000, 0.500]]
}



Most favorable first, least favorable last: (2), (1)



(1)
{
  "formula": "K2SeN",
  "functional": "PBE-GGA",
  "state": "relaxed",
  "dos_at_fermi_per_ev_atom": 0.0000,
  "magnetic_moment_mub_per_cell": 3.00,
  "sg": "Fm-3m, No. 225",
  "lattice_angstrom": [[0.000, 3.842, 3.842], [3.842, 0.000, 3.842], [3.842, 3.842, 0.000]],
  "species": ["K", "K", "Se", "N"],
  "frac_coords": [[0.250, 0.250, 0.250], [0.750, 0.750, 0.750], [0.000, 0.000, 0.000], [0.500, 0.500, 0.500]]
}



(2)
{
  "formula": "K2SeN",
  "functional": "PBE-GGA",
  "state": "relaxed",
  "dos_at_fermi_per_ev_atom": 0.5367,
  "magnetic_moment_mub_per_cell": 1.76,
  "sg": "I-42d, No. 122",
  "lattice_angstrom": [[-5.585, 5.585, 2.047], [5.585, -5.585, 2.047], [5.585, 5.585, -2.047]],
  "species": ["K", "K", "K", "K", "Se", "Se", "N", "N"],
  "frac_coords": [[0.375, 0.129, 0.254], [0.871, 0.125, 0.246], [0.875, 0.121, 0.746], [0.879, 0.625, 0.754], [0.250, 0.750, 0.500], [0.500, 0.500, 0.000], [0.000, 0.000, 0.000], [0.750, 0.250, 0.500]]
}



Most favorable first, least favorable last: (2), (1)



(1)
{
  "formula": "KSiSeN2",
  "functional": "PBE-GGA",
  "state": "relaxed",
  "dos_at_fermi_per_ev_atom": 0.5942,
  "magnetic_moment_mub_per_cell": 2.19,
  "sg": "P4/mmm, No. 123",
  "lattice_angstrom": [[3.900, 0.000, 0.000], [0.000, 3.900, 0.000], [0.000, 0.000, 5.034]],
  "species": ["K", "Si", "Se", "N", "N"],
  "frac_coords": [[0.000, 0.000, 0.000], [0.500, 0.500, 0.500], [0.500, 0.500, 0.000], [0.000, 0.500, 0.500], [0.500, 0.000, 0.500]]
}



(2)
{
  "formula": "KSiSeN2",
  "functional": "PBE-GGA",
  "state": "relaxed",
  "dos_at_fermi_per_ev_atom": 0.2924,
  "magnetic_moment_mub_per_cell": 5.00,
  "sg": "P4/mmm, No. 123",
  "lattice_angstrom": [[4.731, 0.000, 0.000], [0.000, 4.731, 0.000], [0.000, 0.000, 6.248]],
  "species": ["K", "Si", "Se", "N", "N"],
  "frac_coords": [[0.000, 0.000, 0.000], [0.500, 0.500, 0.500], [0.000, 0.000, 0.500], [0.000, 0.500, 0.000], [0.500, 0.000, 0.000]]
}



Most favorable first, least favorable last: (1), (2)



(1)
{
  "formula": "KSiSe2N",
  "functional": "PBE-GGA",
  "state": "relaxed",
  "dos_at_fermi_per_ev_atom": 0.5530,
  "magnetic_moment_mub_per_cell": 0.00,
  "sg": "P4/mmm, No. 123",
  "lattice_angstrom": [[5.649, 0.000, 0.000], [0.000, 5.649, 0.000], [0.000, 0.000, 3.237]],
  "species": ["K", "Si", "Se", "Se", "N"],
  "frac_coords": [[0.000, 0.000, 0.000], [0.500, 0.500, 0.500], [0.000, 0.500, 0.500], [0.500, 0.000, 0.500], [0.500, 0.500, 0.000]]
}



(2)
{
  "formula": "KSiSe2N",
  "functional": "PBE-GGA",
  "state": "relaxed",
  "dos_at_fermi_per_ev_atom": 0.7684,
  "magnetic_moment_mub_per_cell": 4.00,
  "sg": "P4/mmm, No. 123",
  "lattice_angstrom": [[5.748, 0.000, 0.000], [0.000, 5.748, 0.000], [0.000, 0.000, 4.776]],
  "species": ["K", "Si", "Se", "Se", "N"],
  "frac_coords": [[0.000, 0.000, 0.000], [0.500, 0.500, 0.500], [0.000, 0.500, 0.000], [0.500, 0.000, 0.000], [0.000, 0.000, 0.500]]
}



Most favorable first, least favorable last: (1), (2)



(1)
{
  "formula": "KSrSeN2",
  "functional": "PBE-GGA",
  "state": "relaxed",
  "dos_at_fermi_per_ev_atom": 0.7674,
  "magnetic_moment_mub_per_cell": 5.00,
  "sg": "P4/mmm, No. 123",
  "lattice_angstrom": [[5.084, 0.000, 0.000], [0.000, 5.084, 0.000], [0.000, 0.000, 6.095]],
  "species": ["K", "Sr", "Se", "N", "N"],
  "frac_coords": [[0.000, 0.000, 0.000], [0.500, 0.500, 0.500], [0.500, 0.500, 0.000], [0.000, 0.500, 0.500], [0.500, 0.000, 0.500]]
}



(2)
{
  "formula": "KSrSeN2",
  "functional": "PBE-GGA",
  "state": "relaxed",
  "dos_at_fermi_per_ev_atom": 0.3665,
  "magnetic_moment_mub_per_cell": 5.00,
  "sg": "P4/mmm, No. 123",
  "lattice_angstrom": [[4.867, 0.000, 0.000], [0.000, 4.867, 0.000], [0.000, 0.000, 6.115]],
  "species": ["K", "Sr", "Se", "N", "N"],
  "frac_coords": [[0.000, 0.000, 0.000], [0.500, 0.500, 0.500], [0.000, 0.000, 0.500], [0.000, 0.500, 0.000], [0.500, 0.000, 0.000]]
}



Most favorable first, least favorable last: (1), (2)



(1)
{
  "formula": "KTaSeN2",
  "functional": "PBE-GGA",
  "state": "relaxed",
  "dos_at_fermi_per_ev_atom": 0.7221,
  "magnetic_moment_mub_per_cell": 1.55,
  "sg": "P4/mmm, No. 123",
  "lattice_angstrom": [[4.178, 0.000, 0.000], [0.000, 4.178, 0.000], [0.000, 0.000, 5.223]],
  "species": ["K", "Ta", "Se", "N", "N"],
  "frac_coords": [[0.000, 0.000, 0.000], [0.500, 0.500, 0.500], [0.500, 0.500, 0.000], [0.000, 0.500, 0.500], [0.500, 0.000, 0.500]]
}



(2)
{
  "formula": "KTaSeN2",
  "functional": "PBE-GGA",
  "state": "relaxed",
  "dos_at_fermi_per_ev_atom": 1.0396,
  "magnetic_moment_mub_per_cell": 0.00,
  "sg": "P4/mmm, No. 123",
  "lattice_angstrom": [[4.101, 0.000, 0.000], [0.000, 4.101, 0.000], [0.000, 0.000, 5.280]],
  "species": ["K", "Ta", "Se", "N", "N"],
  "frac_coords": [[0.000, 0.000, 0.000], [0.500, 0.500, 0.500], [0.000, 0.000, 0.500], [0.000, 0.500, 0.000], [0.500, 0.000, 0.000]]
}



Most favorable first, least favorable last: (1), (2)



(1)
{
  "formula": "KTcSeN2",
  "functional": "PBE-GGA",
  "state": "relaxed",
  "dos_at_fermi_per_ev_atom": 0.6394,
  "magnetic_moment_mub_per_cell": 0.00,
  "sg": "P4/mmm, No. 123",
  "lattice_angstrom": [[3.995, 0.000, 0.000], [0.000, 3.995, 0.000], [0.000, 0.000, 5.211]],
  "species": ["K", "Tc", "Se", "N", "N"],
  "frac_coords": [[0.000, 0.000, 0.000], [0.500, 0.500, 0.500], [0.500, 0.500, 0.000], [0.000, 0.500, 0.500], [0.500, 0.000, 0.500]]
}



(2)
{
  "formula": "KTcSeN2",
  "functional": "PBE-GGA",
  "state": "relaxed",
  "dos_at_fermi_per_ev_atom": 2.2914,
  "magnetic_moment_mub_per_cell": 0.01,
  "sg": "P4/mmm, No. 123",
  "lattice_angstrom": [[4.102, 0.000, 0.000], [0.000, 4.102, 0.000], [0.000, 0.000, 5.481]],
  "species": ["K", "Tc", "Se", "N", "N"],
  "frac_coords": [[0.000, 0.000, 0.000], [0.500, 0.500, 0.500], [0.000, 0.000, 0.500], [0.000, 0.500, 0.000], [0.500, 0.000, 0.000]]
}



Most favorable first, least favorable last: (1), (2)